(1)
This record from Alexandria describes CrCu2Re after structural relaxation. The functional is PBE.

The structure in extended XYZ format:
```
4
Lattice="2.522 0.000 0.000 0.000 2.522 0.000 0.000 0.000 8.053" Properties=species:S:1:pos:R:3 pbc="T T T"
Cr 0.000 0.000 0.000
Cu 1.261 1.261 1.945
Cu 1.261 1.261 6.108
Re 0.000 0.000 4.027
```

E_tot (eV/atom): -7.218
Polymorph energy (0 for the lowest one) (meV per atom): 132
Energy of formation from the pure elements (eV per atom): 0.348
N(E_F) (states/eV/cell): 3.89

(2)
This record from Alexandria describes Cr2CuRe after structural relaxation. The functional is PBE.

The structure in extended XYZ format:
```
4
Lattice="3.773 0.000 0.000 0.000 3.773 0.000 0.000 0.000 3.528" Properties=species:S:1:pos:R:3 pbc="T T T"
Cr 0.000 1.887 0.000
Cr 1.887 0.000 0.000
Cu 0.000 0.000 1.764
Re 1.887 1.887 1.764
```

E_tot (eV/atom): -8.721
Polymorph energy (0 for the lowest one) (meV per atom): 15
Energy of formation from the pure elements (eV per atom): 0.227
N(E_F) (states/eV/cell): 3.41

(3)
This record from Alexandria describes CrCu2Re after structural relaxation. The functional is PBE.

The structure in extended XYZ format:
```
4
Lattice="4.322 -1.257 0.000 4.322 1.257 0.000 -0.495 0.000 4.723" Properties=species:S:1:pos:R:3 pbc="T T T"
Cr 0.000 0.000 0.000
Cu 1.840 0.000 3.435
Cu 4.128 0.000 2.404
Re 6.452 0.000 1.076
```

E_tot (eV/atom): -7.285
Polymorph energy (0 for the lowest one) (meV per atom): 65
Energy of formation from the pure elements (eV per atom): 0.281
N(E_F) (states/eV/cell): 3.02

(4)
This record from Alexandria describes CrCu2Re after structural relaxation. The functional is PBE.

The structure in extended XYZ format:
```
4
Lattice="4.356 0.000 0.000 0.000 4.356 0.000 0.000 0.000 2.820" Properties=species:S:1:pos:R:3 pbc="T T T"
Cr 0.000 0.000 0.000
Cu 0.000 2.178 1.410
Cu 2.178 0.000 1.410
Re 2.178 2.178 0.000
```

E_tot (eV/atom): -7.068
Polymorph energy (0 for the lowest one) (meV per atom): 282
Energy of formation from the pure elements (eV per atom): 0.498
N(E_F) (states/eV/cell): 2.89

(5)
This record from Alexandria describes CrCu2Re after structural relaxation. The functional is PBE.

The structure in extended XYZ format:
```
4
Lattice="1.313 0.758 8.744 -1.313 0.758 8.744 0.000 -1.516 8.744" Properties=species:S:1:pos:R:3 pbc="T T T"
Cr 0.000 0.000 0.000
Cu 0.000 0.000 6.615
Cu 0.000 0.000 19.616
Re 0.000 0.000 13.115
```

E_tot (eV/atom): -7.148
Polymorph energy (0 for the lowest one) (meV per atom): 202
Energy of formation from the pure elements (eV per atom): 0.418
N(E_F) (states/eV/cell): 5.45

(6)
This record from Alexandria describes CrCu2Re after structural relaxation. The functional is PBE.

The structure in extended XYZ format:
```
4
Lattice="0.000 2.941 2.941 2.941 0.000 2.941 2.941 2.941 0.000" Properties=species:S:1:pos:R:3 pbc="T T T"
Cr 0.000 0.000 0.000
Cu 1.470 1.470 1.470
Cu 4.411 4.411 4.411
Re 2.941 2.941 2.941
```

E_tot (eV/atom): -6.966
Polymorph energy (0 for the lowest one) (meV per atom): 384
Energy of formation from the pure elements (eV per atom): 0.600
N(E_F) (states/eV/cell): 4.20

(7)
This record from Alexandria describes CrCu2Re after structural relaxation. The functional is PBE.

The structure in extended XYZ format:
```
4
Lattice="-1.760 1.760 4.085 1.760 -1.760 4.085 1.760 1.760 -4.085" Properties=species:S:1:pos:R:3 pbc="T T T"
Cr 0.000 0.000 0.000
Cu 1.760 0.000 2.043
Cu 0.000 1.760 2.043
Re 0.000 0.000 4.085
```

E_tot (eV/atom): -7.287
Polymorph energy (0 for the lowest one) (meV per atom): 63
Energy of formation from the pure elements (eV per atom): 0.279
N(E_F) (states/eV/cell): 2.56

(8)
This record from Alexandria describes Cr2CuRe after structural relaxation. The functional is PBE.

The structure in extended XYZ format:
```
4
Lattice="0.000 2.958 2.958 2.958 0.000 2.958 2.958 2.958 0.000" Properties=species:S:1:pos:R:3 pbc="T T T"
Cr 0.000 0.000 0.000
Cr 1.479 1.479 1.479
Cu 2.958 2.958 2.958
Re 4.436 4.436 4.436
```

E_tot (eV/atom): -8.641
Polymorph energy (0 for the lowest one) (meV per atom): 95
Energy of formation from the pure elements (eV per atom): 0.307
N(E_F) (states/eV/cell): 2.91

Repeat the eighth record exactly.
This record from Alexandria describes Cr2CuRe after structural relaxation. The functional is PBE.

The structure in extended XYZ format:
```
4
Lattice="0.000 2.958 2.958 2.958 0.000 2.958 2.958 2.958 0.000" Properties=species:S:1:pos:R:3 pbc="T T T"
Cr 0.000 0.000 0.000
Cr 1.479 1.479 1.479
Cu 2.958 2.958 2.958
Re 4.436 4.436 4.436
```

E_tot (eV/atom): -8.641
Polymorph energy (0 for the lowest one) (meV per atom): 95
Energy of formation from the pure elements (eV per atom): 0.307
N(E_F) (states/eV/cell): 2.91

Look up the N(E_F) of the eighth one. 2.91 states/eV/cell